BeFe2Hg: optimized geometry, PBE.

As for the magnetization: 18.9 μB per cell. The calculation puts the final energy at -4.81 eV per atom. The volume comes out at 13.1 A^3/atom.

The space group is F-43m (No. 216) and the conventional cell measures 5.935, 5.935 and 5.935 Å, with angles of 90.00, 90.00 and 90.00 degrees. Symmetry generates all atoms from Be at (0.000, 0.000, 0.000), Fe at (0.000, 0.000, 0.500), Fe at (0.250, 0.250, 0.750) and Hg at (0.250, 0.250, 0.250).